No. 1
Here is a geometry-optimized Er5Pd4Au structure from Alexandria via LeMat-Bulk. Energies are from PBE-GGA.

Unit cell a=3.4860 b=3.4860 c=17.6100 alpha=90.00 beta=90.00 gamma=90.00
Closest atoms and distances in Å follow each position.
Space group P4/mmm (No. 123)
Unique sites:
Er 0.0000 0.0000 0.0000 (multiplicity 1)  8 Pd 3.02
Er 0.0000 0.0000 0.1977 (multiplicity 2)  8 Pd 3.02
Er 0.0000 0.0000 0.3963 (multiplicity 2)  4 Pd 3.02, 4 Au 3.07
Pd 0.5000 0.5000 0.0989 (multiplicity 2)  8 Er 3.02
Pd 0.5000 0.5000 0.2970 (multiplicity 2)  8 Er 3.02
Au 0.5000 0.5000 0.5000 (multiplicity 1)  8 Er 3.07

**Crystal system**: tetragonal
**Formation enthalpy at 0 K**: -0.91 eV per atom
**Total magnetization**: 0.00 μB/cell
**Calculated volume**: 21.40 Å³ per atom

No. 2
Here is a geometry-optimized ErPdAu3 structure from Alexandria via LeMat-Bulk. Energies are from PBE-GGA.

Unit cell a=5.8326 b=5.0298 c=13.1180 alpha=90.00 beta=90.00 gamma=90.00
Closest atoms and distances in Å follow each position.
Space group Pnma (No. 62)
Unique sites:
Er 0.2492 0.2500 0.0514 (multiplicity 4)  3 Pd 2.86-3.09, 9 Au 2.90-3.11
Pd 0.0045 0.2500 0.6344 (multiplicity 4)  8 Au 2.83-3.04, 3 Er 2.86-3.09
Au 0.0060 0.7500 0.7493 (multiplicity 4)  6 Au 2.82-2.92, 2 Pd 2.93, 2 Er 2.96-3.01
Au 0.0102 0.7500 0.1421 (multiplicity 4)  3 Pd 2.83-3.00, 5 Au 2.89-3.12, 3 Er 2.95-3.11
Au 0.2456 0.2500 0.4343 (multiplicity 4)  5 Au 2.82-3.12, 4 Er 2.90-2.95, 3 Pd 2.98-3.04

**Crystal system**: orthorhombic
**Formation enthalpy at 0 K**: -0.57 eV per atom
**Total magnetization**: 0.00 μB/cell
**Calculated volume**: 19.24 Å³ per atom

No. 3
Here is a geometry-optimized Er3Pd2Au3 structure from Alexandria via LeMat-Bulk. Energies are from PBE-GGA.

Unit cell a=7.3630 b=7.3630 c=3.5927 alpha=90.00 beta=90.00 gamma=120.00
Closest atoms and distances in Å follow each position.
Space group P-62m (No. 189)
Unique sites:
Er 0.0000 0.3944 0.0000 (multiplicity 3)  4 Pd 2.89, 4 Au 3.10
Pd 0.3333 0.6667 0.5000 (multiplicity 2)  3 Au 2.89, 6 Er 2.89
Au 0.0000 0.7650 0.5000 (multiplicity 3)  2 Pd 2.89, 2 Au 3.00, 4 Er 3.10

**Crystal system**: hexagonal
**Formation enthalpy at 0 K**: -0.90 eV per atom
**Total magnetization**: 0.00 μB/cell
**Calculated volume**: 21.09 Å³ per atom

No. 4
Here is a geometry-optimized Er2PdAu structure from Alexandria via LeMat-Bulk. Energies are from PBE-GGA.

Unit cell a=3.6970 b=7.4653 c=7.1719 alpha=90.00 beta=90.00 gamma=90.00
Closest atoms and distances in Å follow each position.
Space group Imm2 (No. 44)
Unique sites:
Er 0.0000 0.2441 0.0000 (multiplicity 4)  3 Au 2.88-2.96, 3 Pd 2.89-2.95
Pd 0.0000 0.5000 0.3031 (multiplicity 2)  1 Au 2.84, 6 Er 2.89-2.95
Au 0.0000 0.5000 0.6987 (multiplicity 2)  1 Pd 2.84, 6 Er 2.88-2.96

**Crystal system**: orthorhombic
**Formation enthalpy at 0 K**: -0.72 eV per atom
**Total magnetization**: 0.00 μB/cell
**Calculated volume**: 24.74 Å³ per atom

No. 5
Here is a geometry-optimized Er8Pd2Au structure from Alexandria via LeMat-Bulk. Energies are from PBE-GGA.

Unit cell a=17.5153 b=5.0393 c=6.7392 alpha=90.00 beta=105.09 gamma=90.00
Closest atoms and distances in Å follow each position.
Space group C2/m (No. 12)
Unique sites:
Er 0.0325 0.0000 0.2765 (multiplicity 4)  1 Pd 2.78, 2 Au 3.06
Er 0.0920 0.5000 0.9605 (multiplicity 4)  1 Au 3.10, 2 Pd 3.28, 6 Er 3.40-3.44
Er 0.1696 0.5000 0.4815 (multiplicity 4)  3 Pd 2.77-3.09, 1 Au 3.01
Er 0.2040 0.0000 0.8307 (multiplicity 4)  1 Pd 2.79
Pd 0.1855 0.0000 0.2301 (multiplicity 4)  5 Er 2.77-3.09
Au 0.0000 0.5000 0.5000 (multiplicity 2)  8 Er 3.01-3.10

**Crystal system**: monoclinic
**Formation enthalpy at 0 K**: -0.49 eV per atom
**Total magnetization**: 0.00 μB/cell
**Calculated volume**: 26.11 Å³ per atom

No. 6
Here is a geometry-optimized Er2Pd5Au structure from Alexandria via LeMat-Bulk. Energies are from PBE-GGA.

Unit cell a=5.7981 b=11.5902 c=4.1757 alpha=90.00 beta=90.00 gamma=90.00
Closest atoms and distances in Å follow each position.
Space group Pbam (No. 55)
Unique sites:
Er 0.2344 0.1296 0.0000 (multiplicity 4)  10 Pd 2.87-2.93, 2 Au 3.00
Pd 0.0000 0.0000 0.5000 (multiplicity 2)  6 Pd 2.90-2.94, 2 Au 2.90, 4 Er 2.91
Pd 0.0142 0.7501 0.5000 (multiplicity 4)  4 Er 2.89-2.90, 7 Pd 2.90-2.95, 1 Au 2.90
Pd 0.2401 0.3770 0.0000 (multiplicity 4)  4 Er 2.87-2.93, 2 Au 2.89, 6 Pd 2.92-2.95
Au 0.0000 0.5000 0.5000 (multiplicity 2)  8 Pd 2.89-2.90, 4 Er 3.00

**Crystal system**: orthorhombic
**Formation enthalpy at 0 K**: -0.93 eV per atom
**Total magnetization**: 0.00 μB/cell
**Calculated volume**: 17.54 Å³ per atom

No. 7
Here is a geometry-optimized Er3Pd5Au structure from Alexandria via LeMat-Bulk. Energies are from PBE-GGA.

Unit cell a=8.2481 b=8.2481 c=11.0145 alpha=90.00 beta=90.00 gamma=90.00
Closest atoms and distances in Å follow each position.
Space group I4/mcm (No. 140)
Unique sites:
Er 0.0000 0.0000 0.2500 (multiplicity 4)  2 Pd 2.75
Er 0.1263 0.3737 0.0000 (multiplicity 8)  2 Pd 2.54
Pd 0.0000 0.0000 0.0000 (multiplicity 4)  2 Er 2.75
Pd 0.1973 0.3027 0.3654 (multiplicity 16)  1 Er 2.54, 1 Au 2.63, 1 Pd 2.82
Au 0.0000 0.5000 0.2500 (multiplicity 4)  4 Pd 2.63

**Crystal system**: tetragonal
**Formation enthalpy at 0 K**: -0.54 eV per atom
**Total magnetization**: 0.00 μB/cell
**Calculated volume**: 20.81 Å³ per atom

No. 8
Here is a geometry-optimized ErPd8Au2 structure from Alexandria via LeMat-Bulk. Energies are from PBE-GGA.

Unit cell a=10.4835 b=8.9506 c=4.7724 alpha=90.00 beta=104.64 gamma=90.00
Closest atoms and distances in Å follow each position.
Space group C2/m (No. 12)
Unique sites:
Er 0.0000 0.0000 0.0000 (multiplicity 2)  6 Pd 2.71-2.85, 2 Au 2.78
Pd 0.0682 0.5000 0.2886 (multiplicity 4)  1 Au 2.70, 7 Pd 2.70-2.92
Pd 0.0817 0.2502 0.7777 (multiplicity 8)  3 Pd 2.64-2.77, 1 Er 2.71, 1 Au 2.72
Pd 0.2197 0.5000 0.8827 (multiplicity 4)  5 Pd 2.64-2.92, 2 Au 2.65-2.66, 1 Er 2.85
Au 0.1660 0.0000 0.5552 (multiplicity 4)  5 Pd 2.65-2.72, 1 Er 2.78

**Crystal system**: monoclinic
**Formation enthalpy at 0 K**: 0.09 eV per atom
**Total magnetization**: 0.00 μB/cell
**Calculated volume**: 19.69 Å³ per atom

No. 9
Here is a geometry-optimized Er4PdAu2 structure from Alexandria via LeMat-Bulk. Energies are from PBE-GGA.

Unit cell a=4.9571 b=4.9571 c=24.4437 alpha=90.00 beta=90.00 gamma=120.00
Closest atoms and distances in Å follow each position.
Space group R-3m (No. 166, hexagonal axes)
Unique sites:
Er 0.0000 0.0000 0.1238 (multiplicity 6)  4 Au 2.95-2.99, 1 Pd 3.03
Er 0.0000 0.0000 0.3739 (multiplicity 6)  3 Pd 3.03, 4 Au 3.09-3.16
Pd 0.0000 0.0000 0.0000 (multiplicity 3)  8 Er 3.03
Au 0.0000 0.0000 0.2446 (multiplicity 6)  8 Er 2.95-3.16

**Crystal system**: trigonal
**Formation enthalpy at 0 K**: -0.72 eV per atom
**Total magnetization**: 0.00 μB/cell
**Calculated volume**: 24.77 Å³ per atom

No. 10
Here is a geometry-optimized Er6Pd2Au structure from Alexandria via LeMat-Bulk. Energies are from PBE-GGA.

Unit cell a=9.3927 b=9.5436 c=10.0587 alpha=90.00 beta=90.00 gamma=90.00
Closest atoms and distances in Å follow each position.
Space group Immm (No. 71)
Unique sites:
Er 0.0000 0.1893 0.2443 (multiplicity 8)  1 Pd 2.86, 2 Au 3.05-3.14
Er 0.2029 0.5000 0.1696 (multiplicity 8)  3 Pd 2.74-2.97
Er 0.2208 0.3216 0.5000 (multiplicity 8)  3 Pd 3.00-3.05, 1 Au 3.13
Pd 0.0000 0.3425 0.0000 (multiplicity 4)  8 Er 2.86-3.05, 1 Pd 3.01
Pd 0.0000 0.5000 0.3659 (multiplicity 4)  1 Pd 2.70, 6 Er 2.74-3.00
Au 0.0000 0.0000 0.0000 (multiplicity 2)  8 Er 3.05-3.13, 2 Pd 3.27
Au 0.0000 0.0000 0.5000 (multiplicity 2)  8 Er 3.14-3.27

**Crystal system**: orthorhombic
**Formation enthalpy at 0 K**: -0.61 eV per atom
**Total magnetization**: 0.00 μB/cell
**Calculated volume**: 25.05 Å³ per atom

No. 11
Here is a geometry-optimized Er2Pd3Au structure from Alexandria via LeMat-Bulk. Energies are from PBE-GGA.

Unit cell a=7.5874 b=8.9611 c=8.1103 alpha=90.00 beta=90.00 gamma=90.00
Closest atoms and distances in Å follow each position.
Space group Ibam (No. 72)
Unique sites:
Er 0.1964 0.1815 0.0000 (multiplicity 8)  6 Pd 2.74-3.07, 1 Au 2.82
Pd 0.0000 0.0000 0.2500 (multiplicity 4)  2 Pd 2.72, 4 Er 3.00
Pd 0.0000 0.3035 0.2500 (multiplicity 8)  2 Au 2.69, 1 Pd 2.72, 2 Er 2.74
Au 0.0000 0.5000 0.0000 (multiplicity 4)  4 Pd 2.69, 2 Er 2.82

**Crystal system**: orthorhombic
**Formation enthalpy at 0 K**: -0.54 eV per atom
**Total magnetization**: 0.00 μB/cell
**Calculated volume**: 22.98 Å³ per atom

No. 12
Here is a geometry-optimized Er8Pd2Au structure from Alexandria via LeMat-Bulk. Energies are from PBE-GGA.

Unit cell a=8.3637 b=13.2345 c=5.6897 alpha=90.00 beta=108.81 gamma=90.00
Closest atoms and distances in Å follow each position.
Space group Cm (No. 8)
Unique sites:
Er 0.0000 0.0000 0.0000 (multiplicity 2)  1 Au 3.04, 2 Pd 3.15
Er 0.0852 0.3743 0.7779 (multiplicity 4)  2 Pd 2.80-2.86
Er 0.1588 0.1258 0.5801 (multiplicity 4)  2 Pd 2.82-2.88
Er 0.2459 0.5000 0.3689 (multiplicity 2)  1 Au 3.04, 2 Pd 3.18
Er 0.3716 0.2192 0.1856 (multiplicity 4)  1 Au 2.99, 2 Pd 3.03-3.06
Pd 0.3744 0.3013 0.6899 (multiplicity 4)  6 Er 2.80-3.06
Au 0.3715 0.0000 0.3138 (multiplicity 2)  8 Er 2.99-3.16

**Crystal system**: monoclinic
**Formation enthalpy at 0 K**: -0.38 eV per atom
**Total magnetization**: 0.00 μB/cell
**Calculated volume**: 27.10 Å³ per atom

No. 13
Here is a geometry-optimized Er2Pd5Au structure from Alexandria via LeMat-Bulk. Energies are from PBE-GGA.

Unit cell a=5.9004 b=5.9004 c=8.0693 alpha=90.00 beta=90.00 gamma=90.00
Closest atoms and distances in Å follow each position.
Space group I4/mmm (No. 139)
Unique sites:
Er 0.0000 0.5000 0.0000 (multiplicity 4)  10 Pd 2.90-2.95, 2 Au 2.95
Pd 0.0000 0.0000 0.0000 (multiplicity 2)  8 Pd 2.90, 4 Er 2.95
Pd 0.2500 0.2500 0.2500 (multiplicity 8)  4 Er 2.90, 6 Pd 2.90-2.95, 2 Au 2.90
Au 0.0000 0.0000 0.5000 (multiplicity 2)  8 Pd 2.90, 4 Er 2.95

**Crystal system**: tetragonal
**Formation enthalpy at 0 K**: -0.92 eV per atom
**Total magnetization**: 0.00 μB/cell
**Calculated volume**: 17.56 Å³ per atom

No. 14
Here is a geometry-optimized Er2Pd4Au structure from Alexandria via LeMat-Bulk. Energies are from PBE-GGA.

Unit cell a=3.9427 b=3.9427 c=18.1401 alpha=90.00 beta=90.00 gamma=90.00
Closest atoms and distances in Å follow each position.
Space group I4/mmm (No. 139)
Unique sites:
Er 0.0000 0.0000 0.1128 (multiplicity 4)  8 Pd 2.85-3.17
Pd 0.0000 0.0000 0.3544 (multiplicity 4)  1 Au 2.64, 4 Pd 2.73, 4 Er 2.85
Pd 0.0000 0.5000 0.2500 (multiplicity 4)  8 Pd 2.73-2.79
Au 0.0000 0.0000 0.5000 (multiplicity 2)  2 Pd 2.64

**Crystal system**: tetragonal
**Formation enthalpy at 0 K**: -0.72 eV per atom
**Total magnetization**: 0.00 μB/cell
**Calculated volume**: 20.14 Å³ per atom

No. 15
Here is a geometry-optimized ErPd5Au6 structure from Alexandria via LeMat-Bulk. Energies are from PBE-GGA.

Unit cell a=4.1577 b=12.4109 c=8.0715 alpha=90.00 beta=90.14 gamma=90.00
Closest atoms and distances in Å follow each position.
Space group C2/m (No. 12)
Unique sites:
Er 0.0000 0.0000 0.0000 (multiplicity 2)  4 Pd 2.92, 8 Au 2.94-2.95
Pd 0.0000 0.0000 0.5000 (multiplicity 2)  8 Au 2.84-2.88, 4 Pd 2.92
Pd 0.0000 0.3351 0.0000 (multiplicity 4)  8 Au 2.92-2.93, 2 Er 2.92, 2 Pd 2.96
Pd 0.0000 0.3349 0.5000 (multiplicity 4)  8 Au 2.83-2.87, 4 Pd 2.92-2.96
Au 0.9999 0.1691 0.2556 (multiplicity 8)  7 Pd 2.85-2.93, 4 Au 2.89-2.95, 1 Er 2.94
Au 0.0001 0.5000 0.2588 (multiplicity 4)  6 Pd 2.83-2.92, 2 Er 2.94-2.95, 4 Au 2.95

**Crystal system**: monoclinic
**Formation enthalpy at 0 K**: -0.34 eV per atom
**Total magnetization**: 0.00 μB/cell
**Calculated volume**: 17.35 Å³ per atom

No. 16
Here is a geometry-optimized Er4PdAu structure from Alexandria via LeMat-Bulk. Energies are from PBE-GGA.

Unit cell a=9.4116 b=9.4116 c=8.3389 alpha=90.00 beta=90.00 gamma=90.00
Closest atoms and distances in Å follow each position.
Space group I4_1md (No. 109)
Unique sites:
Er 0.0000 0.2016 0.0000 (multiplicity 8)  1 Pd 2.78, 2 Au 2.81-2.87
Er 0.0000 0.2048 0.4851 (multiplicity 8)  2 Pd 2.78-2.79, 1 Au 2.88
Pd 0.0000 0.0000 0.2435 (multiplicity 4)  6 Er 2.78-2.79
Au 0.0000 0.0000 0.7419 (multiplicity 4)  6 Er 2.81-2.88

**Crystal system**: tetragonal
**Formation enthalpy at 0 K**: -0.38 eV per atom
**Total magnetization**: 0.01 μB/cell
**Calculated volume**: 30.78 Å³ per atom

No. 17
Here is a geometry-optimized Er5Pd12Au2 structure from Alexandria via LeMat-Bulk. Energies are from PBE-GGA.

Unit cell a=16.4593 b=5.5648 c=8.9842 alpha=90.00 beta=110.21 gamma=90.00
Closest atoms and distances in Å follow each position.
Space group C2/m (No. 12)
Unique sites:
Er 0.0000 0.0000 0.0000 (multiplicity 2)  10 Pd 2.77-3.09
Er 0.1255 0.5000 0.3647 (multiplicity 4)  5 Pd 2.62-2.89
Er 0.1853 0.5000 0.8555 (multiplicity 4)  9 Pd 2.73-3.01
Pd 0.0225 0.5000 0.8709 (multiplicity 4)  2 Er 2.62-2.73, 3 Pd 2.67-2.84
Pd 0.1111 0.0000 0.7965 (multiplicity 4)  4 Pd 2.92-2.97, 2 Au 2.99, 3 Er 3.00-3.01
Pd 0.1554 0.2487 0.1072 (multiplicity 8)  5 Pd 2.74-2.97, 4 Er 2.77-2.89
Pd 0.2059 0.2328 0.6150 (multiplicity 8)  2 Pd 2.59-2.74, 2 Er 2.64-2.74
Au 0.0000 0.2471 0.5000 (multiplicity 4)  2 Au 2.75-2.82, 2 Pd 2.99, 2 Er 3.08

**Crystal system**: monoclinic
**Formation enthalpy at 0 K**: -0.53 eV per atom
**Total magnetization**: 0.00 μB/cell
**Calculated volume**: 20.32 Å³ per atom

No. 18
Here is a geometry-optimized Er12Pd6Au structure from Alexandria via LeMat-Bulk. Energies are from PBE-GGA.

Unit cell a=12.8543 b=12.8543 c=11.0780 alpha=90.00 beta=90.00 gamma=120.00
Closest atoms and distances in Å follow each position.
Space group R-3 (No. 148, hexagonal axes)
Unique sites:
Er 0.0299 0.8185 0.3846 (multiplicity 18)  4 Pd 2.84-2.95
Er 0.0397 0.8268 0.8855 (multiplicity 18)  2 Pd 2.77-2.81, 1 Au 2.82
Pd 0.0433 0.7815 0.6420 (multiplicity 18)  6 Er 2.77-2.95
Au 0.0000 0.0000 0.0000 (multiplicity 3)  6 Er 2.82

**Crystal system**: trigonal
**Formation enthalpy at 0 K**: -0.54 eV per atom
**Total magnetization**: 0.00 μB/cell
**Calculated volume**: 27.81 Å³ per atom

No. 19
Here is a geometry-optimized Er6Pd12Au structure from Alexandria via LeMat-Bulk. Energies are from PBE-GGA.

Unit cell a=10.6385 b=10.6385 c=11.2869 alpha=90.00 beta=90.00 gamma=120.00
Closest atoms and distances in Å follow each position.
Space group R-3 (No. 148, hexagonal axes)
Unique sites:
Er 0.0128 0.4292 0.2399 (multiplicity 18)  6 Pd 2.74-3.02
Pd 0.0590 0.1903 0.3198 (multiplicity 18)  2 Pd 2.65-2.76, 1 Au 2.71, 2 Er 2.84-2.96
Pd 0.0609 0.8815 0.8936 (multiplicity 18)  5 Pd 2.65-2.93, 3 Er 2.74-2.97
Au 0.0000 0.0000 0.5000 (multiplicity 3)  6 Pd 2.71

**Crystal system**: trigonal
**Formation enthalpy at 0 K**: -0.76 eV per atom
**Total magnetization**: 0.00 μB/cell
**Calculated volume**: 19.41 Å³ per atom